# SmMgInRh

A relaxed SmMgInRh crystal (PBE, Alexandria). Values from VASP.

```
&SYSTEM
  ibrav = 0, nat = 16, ntyp = 4
/
ATOMIC_SPECIES
Sm 150.36 Sm.upf
Mg 24.30 Mg.upf
In 114.82 In.upf
Rh 102.91 Rh.upf
ATOMIC_POSITIONS angstrom
Sm 0.000 0.000 0.000
Sm 0.000 3.511 3.511
Sm 3.511 0.000 3.511
Sm 3.511 3.511 0.000
Mg 0.000 0.000 3.511
Mg 0.000 3.511 0.000
Mg 3.511 0.000 0.000
Mg 3.511 3.511 3.511
In 1.755 1.755 5.266
In 1.755 5.266 1.755
In 5.266 1.755 1.755
In 5.266 5.266 5.266
Rh 1.755 1.755 1.755
Rh 1.755 5.266 5.266
Rh 5.266 1.755 5.266
Rh 5.266 5.266 1.755
CELL_PARAMETERS angstrom
7.021 0.000 0.000
0.000 7.021 0.000
0.000 0.000 7.021
```

Electronic total energy, eV per cell: -71.85

***

# LaTh2WC4

A relaxed LaTh2WC4 crystal (PBE, Alexandria). Values from VASP.

```
&SYSTEM
  ibrav = 0, nat = 16, ntyp = 4
/
ATOMIC_SPECIES
La 138.91 La.upf
Th 232.04 Th.upf
W 183.84 W.upf
C 12.01 C.upf
ATOMIC_POSITIONS angstrom
La 1.835 5.016 9.648
La 1.835 -5.016 3.216
Th 1.835 1.656 6.941
Th 1.835 1.656 12.356
Th 1.835 -1.656 0.509
Th 1.835 -1.656 5.924
W 1.835 4.199 3.216
W 1.835 -4.199 9.648
C 0.000 0.000 0.000
C 0.000 0.000 6.432
C 1.835 2.987 1.689
C 1.835 2.987 4.743
C 1.835 1.094 9.648
C 1.835 -1.094 3.216
C 1.835 -2.987 8.121
C 1.835 -2.987 11.176
CELL_PARAMETERS angstrom
1.835 -6.303 0.000
1.835 6.303 0.000
0.000 0.000 12.865
```

Electronic total energy, eV per cell: -140.70